# 1
## TcOs2Pt (PBE)

Data for TcOs2Pt after structural relaxation.

Calculated values
density of states at the Fermi level = 3.87 states/eV per cell
density = 19.15 Mg/m³
total DFT energy (no corrections) = -9.652 eV/atom
polymorph energy (0 for the lowest one) = 36 meV/atom
total moment = 0.00 μB/f.u.

Cell: 4.763 4.763 4.763 Å, 132.05 132.05 70.14°
Element x y z (fractional)
Tc: 0.000 0.000 0.000
Os: 0.250 0.750 0.500
Os: 0.500 0.500 0.000
Pt: 0.750 0.250 0.500

# 2
## HfNb3Cr (PBE)

Data for HfNb3Cr after structural relaxation.

Calculated values
density of states at the Fermi level = 6.41 states/eV per cell
density = 8.41 Mg/m³
total DFT energy (no corrections) = -9.258 eV/atom
polymorph energy (0 for the lowest one) = 0 meV/atom
total moment = 0.00 μB/f.u.

Cell: 4.650 4.650 4.650 Å, 90.00 90.00 90.00°
Element x y z (fractional)
Hf: 0.000 0.000 0.000
Nb: 0.000 0.500 0.500
Nb: 0.500 0.000 0.500
Nb: 0.500 0.500 0.000
Cr: 0.500 0.500 0.500

# 3
## TcPdBr (PBE)

Data for TcPdBr after structural relaxation.

Calculated values
density of states at the Fermi level = 2.37 states/eV per cell
density = 9.12 Mg/m³
total DFT energy (no corrections) = -5.306 eV/atom
polymorph energy (0 for the lowest one) = 388 meV/atom
total moment = 0.00 μB/f.u.
formation energy (no corrections) = 438 meV/atom

Cell: 3.035 3.035 6.486 Å, 90.19 90.19 60.01°
Element x y z (fractional)
Tc: 0.000 0.000 0.000
Pd: 0.666 0.666 0.685
Br: 0.335 0.335 0.298

# 4
## ZnCu2Si (PBE)

Data for ZnCu2Si after structural relaxation.

Calculated values
density of states at the Fermi level = 2.02 states/eV per cell
density = 7.05 Mg/m³
total DFT energy (no corrections) = -3.691 eV/atom
total moment = 0.00 μB/f.u.
formation energy (no corrections) = 31 meV/atom

Cell: 3.762 3.762 3.668 Å, 90.00 90.00 90.00°
Element x y z (fractional)
Zn: 0.000 0.000 0.000
Cu: 0.000 0.500 0.500
Cu: 0.500 0.000 0.500
Si: 0.500 0.500 0.000

# 5
## Ba2TiBi (PBE)

Data for Ba2TiBi after structural relaxation.

Calculated values
density of states at the Fermi level = 12.80 states/eV per cell
density = 5.59 Mg/m³
total DFT energy (no corrections) = -3.584 eV/atom
total moment = 2.90 μB/f.u.

Cell: 7.583 7.583 7.583 Å, 102.17 102.17 125.33°
Element x y z (fractional)
Ba: 0.124 0.125 0.499
Ba: 0.375 0.876 0.001
Ba: 0.626 0.625 0.501
Ba: 0.875 0.374 0.999
Ti: 0.250 0.750 0.500
Ti: 0.500 0.500 0.000
Bi: 0.000 0.000 0.000
Bi: 0.750 0.250 0.500

# 6
## ZrBeW2 (PBE)

Data for ZrBeW2 after structural relaxation.

Calculated values
density of states at the Fermi level = 2.93 states/eV per cell
density = 11.83 Mg/m³
total DFT energy (no corrections) = -9.214 eV/atom
total moment = 0.00 μB/f.u.

Cell: 3.051 4.603 4.699 Å, 90.00 95.54 90.00°
Element x y z (fractional)
Zr: 0.000 0.000 0.000
Be: 0.500 0.000 0.500
W: 0.296 0.500 0.739
W: 0.704 0.500 0.261

# 7
## Pr2CoRh (PBE)

Data for Pr2CoRh after structural relaxation.

Calculated values
density of states at the Fermi level = 2.28 states/eV per cell
density = 8.30 Mg/m³
total DFT energy (no corrections) = -6.248 eV/atom
polymorph energy (0 for the lowest one) = 78 meV/atom
total moment = 0.54 μB/f.u.

Cell: 3.548 3.548 7.049 Å, 90.00 90.00 90.00°
Element x y z (fractional)
Pr: 0.000 0.000 0.248
Pr: 0.000 0.000 0.752
Co: 0.500 0.500 0.000
Rh: 0.500 0.500 0.500

# 8
## TiTl2TeP (PBE)

Data for TiTl2TeP after structural relaxation.

Calculated values
density of states at the Fermi level = 4.77 states/eV per cell
density = 6.31 Mg/m³
total DFT energy (no corrections) = -3.640 eV/atom
total moment = 1.40 μB/f.u.
formation energy (no corrections) = 595 meV/atom

Cell: 5.625 5.625 5.113 Å, 90.00 90.00 90.00°
Element x y z (fractional)
Ti: 0.000 0.000 0.000
Tl: 0.000 0.500 0.000
Tl: 0.500 0.000 0.000
Te: 0.000 0.000 0.500
P: 0.500 0.500 0.500

# 9
## Sn2AsAu (PBE)

Data for Sn2AsAu after structural relaxation.

Calculated values
density of states at the Fermi level = 0.30 states/eV per cell
density = 6.91 Mg/m³
total DFT energy (no corrections) = -4.016 eV/atom
total moment = 0.00 μB/f.u.

Cell: 7.405 7.405 7.405 Å, 127.99 127.99 76.65°
Element x y z (fractional)
Sn: 0.121 0.625 0.996
Sn: 0.375 0.371 0.496
Sn: 0.629 0.125 0.004
Sn: 0.875 0.879 0.504
As: 0.250 0.750 0.500
As: 0.500 0.500 0.000
Au: 0.000 0.000 0.000
Au: 0.750 0.250 0.500

# 10
## MnPbCl3 (PBE)

Data for MnPbCl3 after structural relaxation.

Calculated values
density of states at the Fermi level = 3.23 states/eV per cell
density = 4.89 Mg/m³
total DFT energy (no corrections) = -4.359 eV/atom
polymorph energy (0 for the lowest one) = 0 meV/atom
total moment = 4.18 μB/f.u.
formation energy (no corrections) = -676 meV/atom

Cell: 5.003 5.003 5.003 Å, 90.00 90.00 90.00°
Element x y z (fractional)
Mn: 0.000 0.000 0.000
Pb: 0.500 0.500 0.500
Cl: 0.000 0.000 0.500
Cl: 0.000 0.500 0.000
Cl: 0.500 0.000 0.000

# 11
## Fe2ReNi (PBE)

Data for Fe2ReNi after structural relaxation.

Calculated values
density of states at the Fermi level = 9.73 states/eV per cell
density = 11.26 Mg/m³
total DFT energy (no corrections) = -8.104 eV/atom
total moment = 3.45 μB/f.u.

Cell: 5.227 5.227 5.227 Å, 103.15 103.15 123.03°
Element x y z (fractional)
Fe: 0.124 0.125 0.499
Fe: 0.375 0.876 0.001
Fe: 0.626 0.625 0.501
Fe: 0.875 0.374 0.999
Re: 0.250 0.750 0.500
Re: 0.500 0.500 0.000
Ni: 0.000 0.000 0.000
Ni: 0.750 0.250 0.500

# 12
## Sc3Te (PBE)

Data for Sc3Te after structural relaxation.

Calculated values
density of states at the Fermi level = 5.55 states/eV per cell
density = 4.81 Mg/m³
total DFT energy (no corrections) = -5.722 eV/atom
polymorph energy (0 for the lowest one) = 415 meV/atom
total moment = 0.01 μB/f.u.
formation energy (no corrections) = -187 meV/atom

Cell: 5.040 5.040 5.040 Å, 60.00 60.00 60.00°
Element x y z (fractional)
Sc: 0.000 0.000 0.000
Sc: 0.250 0.250 0.250
Sc: 0.750 0.750 0.750
Te: 0.500 0.500 0.500

Which formula does entry 1 have?
TcOs2Pt